(one)
# PBE-GGA LaNdHoAg, relaxed
data_LaNdHoAg
_chemical_formula_sum 'La1 Nd1 Ho1 Ag1'
_space_group_name_H-M_alt 'P 1'
_space_group_IT_number 1
_space_group_name_Hall 'P 1'
_cell_length_a 5.527
_cell_length_b 5.527
_cell_length_c 5.527
_cell_angle_alpha 60.00
_cell_angle_beta 60.00
_cell_angle_gamma 60.00
loop_
_atom_site_label
_atom_site_fract_x
_atom_site_fract_y
_atom_site_fract_z
Ho1 0.750 0.750 0.750
Nd1 0.500 0.500 0.500
Ag1 0.250 0.250 0.250
La1 0.000 0.000 0.000
# - crystal system = cubic
# - D(E_F) (states/eV/atom) = 0.8788

=====

(two)
# PBE-GGA LaNdHoAg, relaxed
data_LaNdHoAg
_chemical_formula_sum 'La1 Nd1 Ho1 Ag1'
_space_group_name_H-M_alt 'P 1'
_space_group_IT_number 1
_space_group_name_Hall 'P 1'
_cell_length_a 3.700
_cell_length_b 3.700
_cell_length_c 8.783
_cell_angle_alpha 90.00
_cell_angle_beta 90.00
_cell_angle_gamma 90.00
loop_
_atom_site_label
_atom_site_fract_x
_atom_site_fract_y
_atom_site_fract_z
Ag1 0.000 0.000 0.556
Ho1 0.500 0.500 0.368
La1 0.000 0.000 0.080
Nd1 0.500 0.500 0.781
# - crystal system = tetragonal
# - D(E_F) (states/eV/atom) = 1.4381

=====

The computed energies, referenced to the most stable structure and given in meV/atom, are (one) 170; (two) 0.